# 1
! PBE-GGA BaCd2InAg4, optimized geometry; values from VASP
! - space group = R-3m (166)
&SYSTEM
  ibrav = 0, nat = 8, ntyp = 4
/
ATOMIC_SPECIES
Cd 112.41 Cd.upf
Ag 107.87 Ag.upf
Ba 137.33 Ba.upf
In 114.82 In.upf
CELL_PARAMETERS angstrom
4.839 0.000 0.000
2.419 4.190 0.000
2.419 1.397 9.765
ATOMIC_POSITIONS crystal
Cd 0.758 0.758 0.727
Cd 0.242 0.242 0.273
Ag 0.595 0.595 0.214
Ag 0.870 0.870 0.389
Ag 0.130 0.130 0.611
Ag 0.405 0.405 0.786
Ba 0.000 0.000 0.000
In 0.500 0.500 0.500

=====

# 2
! PBE-GGA Th2RuC2, optimized geometry; values from VASP
! - space group = P2_1/m (11)
&SYSTEM
  ibrav = 0, nat = 10, ntyp = 3
/
ATOMIC_SPECIES
C 12.01 C.upf
Th 232.04 Th.upf
Ru 101.07 Ru.upf
CELL_PARAMETERS angstrom
3.710 0.000 0.000
0.000 5.459 -0.026
0.000 -2.070 8.995
ATOMIC_POSITIONS crystal
C 0.750 0.291 0.602
C 0.250 0.890 0.844
C 0.750 0.110 0.156
C 0.250 0.709 0.398
Th 0.750 0.793 0.602
Th 0.250 0.207 0.398
Th 0.750 0.626 0.191
Th 0.250 0.374 0.809
Ru 0.750 0.845 0.933
Ru 0.250 0.155 0.067

=====

# 3
! PBE-GGA Pr8YTm5, optimized geometry; values from VASP
! - space group = I-4 (82)
&SYSTEM
  ibrav = 0, nat = 14, ntyp = 3
/
ATOMIC_SPECIES
Tm 168.93 Tm.upf
Pr 140.91 Pr.upf
Y 88.91 Y.upf
CELL_PARAMETERS angstrom
8.605 -0.108 0.185
-3.013 8.061 -0.185
-2.579 -4.129 7.098
ATOMIC_POSITIONS crystal
Tm 0.275 0.094 0.964
Tm 0.870 0.906 0.182
Tm 0.500 0.000 0.500
Tm 0.036 0.311 0.130
Tm 0.818 0.689 0.725
Pr 0.526 0.604 0.267
Pr 0.924 0.086 0.657
Pr 0.162 0.733 0.076
Pr 0.733 0.260 0.337
Pr 0.343 0.267 0.429
Pr 0.571 0.914 0.838
Pr 0.663 0.396 0.923
Pr 0.077 0.740 0.474
Y 0.250 0.500 0.750

=====

# 4
! PBE-GGA Zr2NiTe, optimized geometry; values from VASP
! - ΔE_f (raw) (eV per atom) = -0.39
! - space group = P4mm (99)
&SYSTEM
  ibrav = 0, nat = 4, ntyp = 3
/
ATOMIC_SPECIES
Zr 91.22 Zr.upf
Te 127.60 Te.upf
Ni 58.69 Ni.upf
CELL_PARAMETERS angstrom
3.662 0.000 0.000
0.000 3.662 0.000
0.000 0.000 6.115
ATOMIC_POSITIONS crystal
Zr 0.000 0.000 0.987
Zr 0.500 0.500 0.286
Te 0.500 0.500 0.764
Ni 0.000 0.000 0.463

=====

# 5
! PBE-GGA PmEuYHg, optimized geometry; values from VASP
! - space group = F-43m (216)
&SYSTEM
  ibrav = 0, nat = 4, ntyp = 4
/
ATOMIC_SPECIES
Y 88.91 Y.upf
Hg 200.59 Hg.upf
Pm 145.00 Pm.upf
Eu 151.96 Eu.upf
CELL_PARAMETERS angstrom
-1.147 5.359 -0.727
-5.191 1.816 0.560
-1.376 3.144 4.334
ATOMIC_POSITIONS crystal
Y 0.750 0.750 0.750
Hg 0.000 0.000 0.000
Pm 0.500 0.500 0.500
Eu 0.250 0.250 0.250

=====

# 6
! PBE-GGA PmEuTeI, optimized geometry; values from VASP
! - ΔE_f (raw) (eV per atom) = -1.15
! - space group = F-43m (216)
&SYSTEM
  ibrav = 0, nat = 4, ntyp = 4
/
ATOMIC_SPECIES
Te 127.60 Te.upf
I 126.90 I.upf
Eu 151.96 Eu.upf
Pm 145.00 Pm.upf
CELL_PARAMETERS angstrom
5.550 0.000 0.000
2.775 4.807 0.000
2.775 1.602 4.532
ATOMIC_POSITIONS crystal
Te 0.250 0.250 0.250
I 0.750 0.750 0.750
Eu 0.500 0.500 0.500
Pm 0.000 0.000 0.000

=====

# 7
! PBE-GGA MnSn2Se3, optimized geometry; values from VASP
! - ΔE_f (raw) (eV per atom) = -0.37
! - space group = Pnma (62)
&SYSTEM
  ibrav = 0, nat = 24, ntyp = 3
/
ATOMIC_SPECIES
Sn 118.71 Sn.upf
Se 78.96 Se.upf
Mn 54.94 Mn.upf
CELL_PARAMETERS angstrom
-2.308 -2.468 2.555
-2.154 -5.085 -6.857
14.308 -10.201 3.070
ATOMIC_POSITIONS crystal
Sn 0.250 0.929 0.260
Sn 0.250 0.298 0.960
Sn 0.750 0.202 0.460
Sn 0.250 0.798 0.540
Sn 0.250 0.429 0.240
Sn 0.750 0.571 0.760
Sn 0.750 0.071 0.740
Sn 0.750 0.702 0.040
Se 0.250 0.128 0.561
Se 0.750 0.524 0.604
Se 0.250 0.846 0.727
Se 0.750 0.154 0.273
Se 0.750 0.372 0.061
Se 0.750 0.872 0.439
Se 0.250 0.476 0.396
Se 0.250 0.976 0.104
Se 0.750 0.654 0.227
Se 0.250 0.628 0.939
Se 0.750 0.024 0.896
Se 0.250 0.346 0.773
Mn 0.250 0.374 0.633
Mn 0.750 0.126 0.133
Mn 0.250 0.874 0.867
Mn 0.750 0.626 0.367

=====

# 8
! PBE-GGA NdY2Ho3Tm6, optimized geometry; values from VASP
! - space group = C2/m (12)
&SYSTEM
  ibrav = 0, nat = 12, ntyp = 4
/
ATOMIC_SPECIES
Ho 164.93 Ho.upf
Tm 168.93 Tm.upf
Y 88.91 Y.upf
Nd 144.24 Nd.upf
CELL_PARAMETERS angstrom
-4.619 -1.367 3.752
-0.609 -0.844 -6.016
5.794 -9.974 1.844
ATOMIC_POSITIONS crystal
Ho 0.833 0.167 0.500
Ho 0.167 0.833 0.500
Ho 0.500 0.500 0.500
Tm 0.582 0.915 0.747
Tm 0.249 0.249 0.747
Tm 0.418 0.085 0.253
Tm 0.085 0.418 0.253
Tm 0.915 0.582 0.747
Tm 0.751 0.751 0.253
Y 0.333 0.667 0.000
Y 0.667 0.333 0.000
Nd 0.000 0.000 0.000

=====

Number 1: final energy -0.1714 Ry per atom, magnetic moment 0.0 μB per cell, D(E_F) 0.7143 states/eV/atom. Number 2: final energy -0.6434 Ry per atom, magnetic moment 0.0 μB per cell, D(E_F) 0.4118 states/eV/atom. Number 3: final energy -0.3337 Ry per atom, magnetic moment 0.0 μB per cell, D(E_F) 1.5010 states/eV/atom. Number 4: final energy -0.5065 Ry per atom, magnetic moment 0.0 μB per cell, D(E_F) 0.5564 states/eV/atom. Number 5: final energy -0.4014 Ry per atom, magnetic moment 9.0 μB per cell, D(E_F) 1.4265 states/eV/atom. Number 6: final energy -0.4470 Ry per atom, magnetic moment 8.4 μB per cell, D(E_F) 0.5637 states/eV/atom. Number 7: final energy -0.3658 Ry per atom, magnetic moment 20.0 μB per cell, D(E_F) 0.0077 states/eV/atom. Number 8: final energy -0.3550 Ry per atom, magnetic moment 0.0 μB per cell, D(E_F) 1.3898 states/eV/atom.